Record 1
ZnP2H8: optimized geometry, PBE.

Summary:
The calculation puts the calculated total energy at -3.502 eV per atom.

abc: 4.693 8.115 8.094
angles: 67.66 73.15 73.19
Fractional coordinates of all 22 atoms:
P: 0.724 0.750 0.002
P: 0.524 0.250 0.502
P: 0.476 0.750 0.498
P: 0.276 0.250 0.998
H: 0.394 0.404 0.967
H: 0.765 0.096 0.533
H: 0.235 0.904 0.467
H: 0.464 0.233 0.348
H: 0.956 0.733 0.848
H: 0.293 0.616 0.593
H: 0.862 0.448 0.706
H: 0.498 0.116 0.093
H: 0.044 0.267 0.152
H: 0.707 0.384 0.407
H: 0.984 0.948 0.206
H: 0.536 0.767 0.652
H: 0.016 0.052 0.794
H: 0.606 0.596 0.033
H: 0.502 0.884 0.907
H: 0.138 0.552 0.294
Zn: 0.932 0.750 0.250
Zn: 0.068 0.250 0.750

Record 2
ZnPH3: optimized geometry, PBE.

Summary:
The energy relative to the lowest polymorph listed for this composition comes out at 782 meV per atom.

abc: 3.546 3.546 3.546
angles: 90.00 90.00 90.00
Fractional coordinates of all 5 atoms:
Zn: 0.000 0.000 0.000
P: 0.500 0.500 0.500
H: 0.500 0.000 0.000
H: 0.000 0.500 0.000
H: 0.000 0.000 0.500

Record 3
ZnP2H: optimized geometry, PBE.

Summary:
The energy relative to the lowest polymorph listed for this composition comes out at 0 meV per atom.

abc: 4.178 4.178 7.049
angles: 72.76 72.76 90.00
Fractional coordinates of all 8 atoms:
Zn: 0.000 0.000 0.000
Zn: 0.750 0.250 0.500
H: 0.250 0.750 0.500
H: 0.500 0.500 0.000
P: 0.252 0.625 0.250
P: 0.875 0.748 0.750
P: 0.498 0.125 0.250
P: 0.375 0.502 0.750

Record 4
ZnPH: optimized geometry, PBE.

Summary:
The energy relative to the lowest polymorph listed for this composition comes out at 0 meV per atom.

abc: 6.646 4.163 6.644
angles: 90.00 90.00 90.00
Fractional coordinates of all 12 atoms:
Zn: 0.359 0.250 0.024
Zn: 0.141 0.750 0.524
Zn: 0.641 0.750 0.976
Zn: 0.859 0.250 0.476
H: 0.403 0.250 0.497
H: 0.903 0.250 0.003
H: 0.597 0.750 0.503
H: 0.097 0.750 0.997
P: 0.734 0.250 0.137
P: 0.234 0.250 0.363
P: 0.766 0.750 0.637
P: 0.266 0.750 0.863

Record 5
ZnP3H: optimized geometry, PBE.

Summary:
The energy relative to the lowest polymorph listed for this composition comes out at 0 meV per atom.

abc: 4.019 4.019 4.019
angles: 90.00 90.00 90.00
Fractional coordinates of all 5 atoms:
P: 0.500 0.000 0.000
P: 0.000 0.000 0.500
P: 0.000 0.500 0.000
Zn: 0.500 0.500 0.500
H: 0.000 0.000 0.000

Record 6
Zn2PH: optimized geometry, PBE.

Summary:
The energy relative to the lowest polymorph listed for this composition comes out at 0 meV per atom.

abc: 3.840 3.840 5.907
angles: 71.03 71.03 60.00
Fractional coordinates of all 4 atoms:
Zn: 0.102 0.102 0.695
Zn: 0.898 0.898 0.305
P: 0.500 0.500 0.500
H: 0.000 0.000 0.000

What did we get for calculated density? Answer: 1.7 3.7 3.8 3.5 4.1 3.9 g cm⁻³, in the order shown.
What did we get for magnetic moment? Answer: 0.000 0.000 0.000 0.000 0.000 0.000 μB/atom, in the order shown.